DFT (GGA-PBE) results for Hf3ScIn3 after structural relaxation.

POSCAR file:
```
Hf3ScIn3
1.0
4.956 0.000 0.000
0.000 8.554 0.000
0.000 -4.277 7.408
In Hf Sc
6 6 2
Direct
0.750 0.916 0.537
0.750 0.463 0.379
0.250 0.379 0.916
0.250 0.537 0.621
0.250 0.084 0.463
0.750 0.621 0.084
0.250 0.791 0.013
0.750 0.209 0.987
0.250 0.987 0.778
0.250 0.222 0.209
0.750 0.013 0.222
0.750 0.778 0.791
0.250 0.667 0.333
0.750 0.333 0.667
```

Summary:
ΔH_f (0 K) (meV per atom): -164

DFT (GGA-PBE) results for Hf12ScIn3 after structural relaxation.

POSCAR file:
```
Hf12ScIn3
1.0
-4.917 -0.626 -1.713
1.024 -5.023 -1.102
-3.730 -3.380 11.942
In Hf Sc
3 12 1
Direct
0.000 0.000 0.752
0.000 0.000 0.248
0.000 0.000 0.500
0.000 0.500 0.872
0.000 0.500 0.376
0.500 0.000 0.128
0.000 0.500 0.624
0.500 0.500 0.000
0.500 0.500 0.750
0.500 0.500 0.500
0.500 0.000 0.872
0.500 0.000 0.624
0.500 0.000 0.376
0.000 0.500 0.128
0.500 0.500 0.250
0.000 0.000 0.000
```

Summary:
ΔH_f (0 K) (meV per atom): 27

DFT (GGA-PBE) results for HfSc4In5 after structural relaxation.

POSCAR file:
```
HfSc4In5
1.0
3.173 0.000 0.000
0.000 3.173 0.000
0.000 0.000 22.080
In Hf Sc
5 1 4
Direct
0.500 0.500 0.299
0.500 0.500 0.099
0.500 0.500 0.500
0.500 0.500 0.701
0.500 0.500 0.901
0.000 0.000 0.000
0.000 0.000 0.198
0.000 0.000 0.400
0.000 0.000 0.802
0.000 0.000 0.600
```

Summary:
ΔH_f (0 K) (meV per atom): -376

DFT (GGA-PBE) results for HfSc5In6 after structural relaxation.

POSCAR file:
```
HfSc5In6
1.0
-1.956 4.001 0.813
-2.149 -4.920 6.425
8.247 1.384 0.419
Sc In Hf
5 6 1
Direct
0.000 0.667 0.333
0.500 0.165 0.835
0.000 0.333 0.667
0.500 0.835 0.165
0.500 0.500 0.500
0.250 0.416 0.084
0.750 0.584 0.916
0.750 0.916 0.584
0.250 0.750 0.750
0.750 0.250 0.250
0.250 0.084 0.416
0.000 0.000 0.000
```

Summary:
ΔH_f (0 K) (meV per atom): -374

DFT (GGA-PBE) results for Hf2ScIn2 after structural relaxation.

POSCAR file:
```
Hf2ScIn2
1.0
-1.421 1.028 2.579
1.821 -1.837 1.736
8.701 7.639 1.751
Sc In Hf
1 2 2
Direct
0.000 0.000 0.000
0.500 0.403 0.194
0.500 0.597 0.806
0.000 0.194 0.611
0.000 0.806 0.389
```

Summary:
Energy above the lowest structure with this stoichiometry (meV per atom): 0.0
ΔH_f (0 K) (meV per atom): -125

DFT (GGA-PBE) results for HfSc5In2 after structural relaxation.

POSCAR file:
```
HfSc5In2
1.0
-0.067 -4.018 2.022
-2.241 -2.649 -5.338
11.899 -2.169 -3.919
Sc In Hf
10 4 2
Direct
0.000 0.503 0.755
0.000 0.500 0.500
0.000 0.000 0.000
0.000 0.497 0.245
0.500 0.261 0.880
0.000 0.997 0.255
0.500 0.739 0.120
0.500 0.761 0.620
0.000 0.003 0.745
0.500 0.239 0.380
0.500 0.755 0.873
0.500 0.745 0.373
0.500 0.255 0.627
0.500 0.245 0.127
0.000 0.500 0.000
0.000 0.000 0.500
```

Summary:
ΔH_f (0 K) (meV per atom): -238

DFT (GGA-PBE) results for HfScIn3 after structural relaxation.

POSCAR file:
```
HfScIn3
1.0
5.409 0.000 0.000
0.000 5.409 0.000
0.000 0.000 5.409
Sc In Hf
1 3 1
Direct
0.500 0.500 0.500
0.000 0.500 0.000
0.000 0.000 0.500
0.500 0.000 0.000
0.000 0.000 0.000
```

Summary:
Energy above the lowest structure with this stoichiometry (meV per atom): 655.0
ΔH_f (0 K) (meV per atom): 595

DFT (GGA-PBE) results for HfSc3In after structural relaxation.

POSCAR file:
```
HfSc3In
1.0
5.270 0.000 0.000
0.000 5.270 0.000
0.000 0.000 5.270
Sc Hf In
3 1 1
Direct
0.000 0.500 0.000
0.500 0.000 0.000
0.000 0.000 0.500
0.500 0.500 0.500
0.000 0.000 0.000
```

Summary:
Energy above the lowest structure with this stoichiometry (meV per atom): 968.8
ΔH_f (0 K) (meV per atom): 788

DFT (GGA-PBE) results for HfScIn3 after structural relaxation.

POSCAR file:
```
HfScIn3
1.0
4.600 -0.001 0.000
0.002 6.604 0.000
0.000 0.000 7.886
In Sc Hf
6 2 2
Direct
0.250 0.528 0.273
0.750 0.472 0.727
0.750 0.750 0.062
0.250 0.972 0.273
0.250 0.250 0.938
0.750 0.028 0.727
0.750 0.250 0.215
0.250 0.750 0.785
0.250 0.250 0.558
0.750 0.750 0.442
```

Summary:
Energy above the lowest structure with this stoichiometry (meV per atom): 0.0
ΔH_f (0 K) (meV per atom): -59

DFT (GGA-PBE) results for HfSc2In5 after structural relaxation.

POSCAR file:
```
HfSc2In5
1.0
4.458 0.000 0.000
0.000 6.369 0.000
0.000 0.000 12.756
In Hf Sc
10 2 4
Direct
0.000 0.988 0.243
0.000 0.000 0.500
0.500 0.238 0.117
0.000 0.012 0.757
0.500 0.738 0.383
0.500 0.762 0.883
0.000 0.488 0.257
0.500 0.262 0.617
0.000 0.512 0.743
0.000 0.500 0.000
0.000 0.000 0.000
0.000 0.500 0.500
0.500 0.236 0.370
0.500 0.264 0.870
0.500 0.764 0.630
0.500 0.736 0.130
```

Summary:
ΔH_f (0 K) (meV per atom): -256

DFT (GGA-PBE) results for HfScIn2 after structural relaxation.

POSCAR file:
```
HfScIn2
1.0
5.542 0.000 3.051
2.956 5.416 1.190
0.247 -1.441 6.111
Sc In Hf
2 4 2
Direct
0.250 0.250 0.250
0.750 0.750 0.750
0.250 0.250 0.750
0.750 0.250 0.750
0.750 0.750 0.250
0.250 0.750 0.250
0.750 0.250 0.250
0.250 0.750 0.750
```

Summary:
Energy above the lowest structure with this stoichiometry (meV per atom): 12.6
ΔH_f (0 K) (meV per atom): -277

DFT (GGA-PBE) results for Hf2Sc2In after structural relaxation.

POSCAR file:
```
Hf2Sc2In
1.0
4.359 0.000 -0.775
0.000 4.429 0.000
-0.166 0.000 11.717
In Sc Hf
2 4 4
Direct
0.650 0.750 0.300
0.350 0.250 0.700
0.554 0.250 0.108
0.949 0.250 0.897
0.446 0.750 0.892
0.051 0.750 0.103
0.250 0.750 0.501
0.846 0.750 0.692
0.750 0.250 0.499
0.154 0.250 0.308
```

Summary:
Energy above the lowest structure with this stoichiometry (meV per atom): 0.0
ΔH_f (0 K) (meV per atom): -125

DFT (GGA-PBE) results for Hf2ScIn2 after structural relaxation.

POSCAR file:
```
Hf2ScIn2
1.0
7.832 0.000 0.000
0.000 7.832 0.000
0.000 0.000 3.738
Hf In Sc
4 4 2
Direct
0.171 0.671 0.500
0.829 0.329 0.500
0.329 0.171 0.500
0.671 0.829 0.500
0.870 0.630 0.000
0.630 0.130 0.000
0.130 0.370 0.000
0.370 0.870 0.000
0.500 0.500 0.000
0.000 0.000 0.000
```

Summary:
Energy above the lowest structure with this stoichiometry (meV per atom): 54.5
ΔH_f (0 K) (meV per atom): -71

DFT (GGA-PBE) results for Hf4ScIn after structural relaxation.

POSCAR file:
```
Hf4ScIn
1.0
-0.008 4.301 -0.700
1.735 0.657 4.014
7.326 -0.102 -0.714
In Hf Sc
1 4 1
Direct
0.500 0.500 0.000
0.500 0.825 0.350
0.500 0.175 0.650
0.000 0.672 0.656
0.000 0.328 0.344
0.000 0.000 0.000
```

Summary:
ΔH_f (0 K) (meV per atom): -121

DFT (GGA-PBE) results for Hf2Sc2In after structural relaxation.

POSCAR file:
```
Hf2Sc2In
1.0
-4.538 2.639 5.552
-3.315 -6.863 0.552
2.752 -1.106 2.775
Sc Hf In
4 4 2
Direct
0.344 0.156 0.500
0.656 0.844 0.500
0.156 0.656 0.500
0.844 0.344 0.500
0.637 0.137 0.000
0.137 0.363 0.000
0.863 0.637 0.000
0.363 0.863 0.000
0.000 0.000 0.000
0.500 0.500 0.000
```

Summary:
Energy above the lowest structure with this stoichiometry (meV per atom): 208.7
ΔH_f (0 K) (meV per atom): 84

DFT (GGA-PBE) results for HfSc5In4 after structural relaxation.

POSCAR file:
```
HfSc5In4
1.0
3.187 0.000 0.000
0.000 3.187 0.000
0.000 0.000 22.270
In Sc Hf
4 5 1
Direct
0.000 0.000 0.599
0.000 0.000 0.401
0.000 0.000 0.797
0.000 0.000 0.203
0.500 0.500 0.700
0.500 0.500 0.500
0.500 0.500 0.900
0.500 0.500 0.300
0.500 0.500 0.100
0.000 0.000 0.000
```

Summary:
ΔH_f (0 K) (meV per atom): -352

DFT (GGA-PBE) results for HfSc6In after structural relaxation.

POSCAR file:
```
HfSc6In
1.0
4.529 0.000 0.000
0.000 4.529 0.000
0.000 0.000 9.128
In Sc Hf
1 6 1
Direct
0.000 0.000 0.000
0.500 0.500 0.000
0.000 0.500 0.254
0.000 0.500 0.746
0.500 0.000 0.746
0.500 0.500 0.500
0.500 0.000 0.254
0.000 0.000 0.500
```

Summary:
ΔH_f (0 K) (meV per atom): -123

DFT (GGA-PBE) results for HfScIn2 after structural relaxation.

POSCAR file:
```
HfScIn2
1.0
-1.928 0.647 2.584
-0.938 -2.434 2.001
7.069 0.921 7.136
Hf Sc In
1 1 2
Direct
0.500 0.500 0.501
0.667 0.667 0.999
0.083 0.083 0.752
0.250 0.250 0.249
```

Summary:
Energy above the lowest structure with this stoichiometry (meV per atom): 128.5
ΔH_f (0 K) (meV per atom): -162

DFT (GGA-PBE) results for HfSc2In2 after structural relaxation.

POSCAR file:
```
HfSc2In2
1.0
-4.840 5.573 -3.225
-1.124 -4.704 -6.442
-2.802 -1.512 1.593
Sc In Hf
4 4 2
Direct
0.826 0.326 0.500
0.174 0.674 0.500
0.674 0.826 0.500
0.326 0.174 0.500
0.629 0.129 0.000
0.129 0.371 0.000
0.371 0.871 0.000
0.871 0.629 0.000
0.500 0.500 0.000
0.000 0.000 0.000
```

Summary:
Energy above the lowest structure with this stoichiometry (meV per atom): 0.0
ΔH_f (0 K) (meV per atom): -189

DFT (GGA-PBE) results for HfScIn2 after structural relaxation.

POSCAR file:
```
HfScIn2
1.0
7.933 0.000 0.000
0.000 7.933 0.000
3.966 3.966 3.081
In Sc Hf
4 2 2
Direct
0.126 0.625 0.250
0.875 0.874 0.750
0.624 0.125 0.250
0.375 0.376 0.750
0.250 0.750 0.500
0.500 0.500 0.000
0.750 0.250 0.500
0.000 0.000 0.000
```

Summary:
Energy above the lowest structure with this stoichiometry (meV per atom): 419.4
ΔH_f (0 K) (meV per atom): 129